[1]
Density functional theory data (GGA-PBE) for a relaxed Ca4AsS2Br crystal.

```
Ca4AsS2Br
1.0
-1.369 5.686 0.313
-4.552 -1.286 3.453
6.434 -1.628 2.909
Ca As S Br
4 1 2 1
direct
0.174 0.174 0.473 Ca
0.937 0.437 0.000 Ca
0.701 0.701 0.527 Ca
0.437 0.937 0.000 Ca
0.937 0.937 0.000 As
0.687 0.187 0.500 S
0.187 0.687 0.500 S
0.437 0.437 0.000 Br
```

Computed properties:
symmetry = No. 139
VASP energy = -37.05 eV for the cell shown



[2]
Density functional theory data (GGA-PBE) for a relaxed InSiHg2 crystal.

```
InSiHg2
1.0
6.653 0.560 -0.122
3.659 5.585 0.122
-4.562 -4.070 2.686
In Si Hg
1 1 2
direct
0.750 0.250 0.500 In
0.250 0.750 0.500 Si
0.453 0.453 0.000 Hg
0.047 0.047 0.000 Hg
```

Computed properties:
symmetry = No. 71
Fermi-level density of states = 1.93 states/eV/cell
VASP energy = -7.55 eV for the cell shown



[3]
Density functional theory data (GGA-PBE) for a relaxed CeDy2Y crystal.

```
CeDy2Y
1.0
3.538 -0.016 -0.321
0.010 6.148 -0.165
1.026 0.302 11.298
Dy Ce Y
4 2 2
direct
0.749 0.083 0.755 Dy
0.251 0.917 0.245 Dy
0.249 0.583 0.755 Dy
0.751 0.417 0.245 Dy
0.750 0.750 0.000 Ce
0.250 0.250 0.000 Ce
0.750 0.750 0.500 Y
0.250 0.250 0.500 Y
```

Computed properties:
formation enthalpy at 0 K = 0.030 eV/atom
symmetry = No. 164
energy above the lowest structure with this stoichiometry = 0 meV per atom
Fermi-level density of states = 14.51 states/eV/cell



[4]
Density functional theory data (GGA-PBE) for a relaxed Rb3Ac2DySe6 crystal.

```
Rb3Ac2DySe6
1.0
-7.719 0.804 0.498
3.041 -6.074 -3.785
1.560 -2.491 7.921
Se Rb Ac Dy
6 3 2 1
direct
0.932 0.617 0.797 Se
0.753 0.753 0.203 Se
0.247 0.247 0.797 Se
0.383 0.068 0.203 Se
0.068 0.383 0.203 Se
0.617 0.932 0.797 Se
0.500 0.500 0.500 Rb
0.168 0.832 0.500 Rb
0.832 0.168 0.500 Rb
0.334 0.666 0.000 Ac
0.666 0.334 0.000 Ac
0.000 0.000 0.000 Dy
```

Computed properties:
symmetry = No. 12
Fermi-level density of states = 0.00 states/eV/cell
VASP energy = -57.90 eV for the cell shown



[5]
Density functional theory data (GGA-PBE) for a relaxed Tb3Sm2Al4 crystal.

```
Tb3Sm2Al4
1.0
6.243 0.000 0.000
0.000 7.708 0.000
-3.122 0.000 9.864
Sm Al Tb
4 8 6
direct
0.411 0.103 0.823 Sm
0.589 0.897 0.177 Sm
0.911 0.397 0.823 Sm
0.089 0.603 0.177 Sm
0.651 0.508 0.303 Al
0.337 0.250 0.174 Al
0.151 0.992 0.303 Al
0.663 0.750 0.826 Al
0.349 0.492 0.697 Al
0.837 0.250 0.174 Al
0.163 0.750 0.826 Al
0.849 0.008 0.697 Al
0.499 0.250 0.498 Tb
0.000 0.000 0.000 Tb
0.999 0.250 0.498 Tb
0.001 0.750 0.502 Tb
0.500 0.500 0.000 Tb
0.501 0.750 0.502 Tb
```

Computed properties:
formation enthalpy at 0 K = -0.209 eV/atom
symmetry = No. 64
Fermi-level density of states = 19.51 states/eV/cell



[6]
Density functional theory data (GGA-PBE) for a relaxed InGaBr2 crystal.

```
InGaBr2
1.0
4.498 0.000 0.000
0.000 6.211 -2.013
0.000 -0.369 9.070
Br In Ga
4 2 2
direct
0.250 0.798 0.084 Br
0.250 0.796 0.566 Br
0.750 0.202 0.916 Br
0.750 0.204 0.434 Br
0.250 0.305 0.194 In
0.750 0.695 0.806 In
0.250 0.252 0.688 Ga
0.750 0.748 0.312 Ga
```

Computed properties:
symmetry = No. 11
energy above the lowest structure with this stoichiometry = 0 meV per atom
Fermi-level density of states = 0.00 states/eV/cell